Computed, not measured: crystalline MgGa3 at its relaxed geometry at the GGA-PBE level of DFT.

Properties
**Calculated formation energy**: -2.5 meV/atom

Cell: 6.774 6.774 6.774 Å, 90.00 90.00 90.00°
Space group Fm-3m (No. 225)
Inequivalent atoms, fractional coordinates:
Mg (0.000, 0.000, 0.000) [4 per cell]
Ga (0.000, 0.000, 0.500) [4 per cell]
Ga (0.250, 0.250, 0.250) [8 per cell]

Computed, not measured: crystalline Mg13Ga3 at its relaxed geometry at the GGA-PBE level of DFT.

Properties
**Calculated formation energy**: -44.7 meV/atom

Cell: 6.219 9.987 11.133 Å, 90.00 90.00 90.00°
Space group Amm2 (No. 38)
Inequivalent atoms, fractional coordinates:
Mg (0.000, 0.000, 0.000) [2 per cell]
Mg (0.000, 0.000, 0.491) [2 per cell]
Mg (0.000, 0.244, 0.160) [4 per cell]
Mg (0.250, 0.245, 0.904) [8 per cell]
Mg (0.254, 0.000, 0.735) [4 per cell]
Mg (0.500, 0.000, 0.490) [2 per cell]
Mg (0.500, 0.215, 0.150) [4 per cell]
Ga (0.237, 0.000, 0.260) [4 per cell]
Ga (0.500, 0.000, 0.957) [2 per cell]

Computed, not measured: crystalline MgGa3 at its relaxed geometry at the GGA-PBE level of DFT.

Properties
**Calculated formation energy**: -70.1 meV/atom

Cell: 3.146 4.821 5.023 Å, 90.00 90.00 90.00°
Space group Pmm2 (No. 25)
Inequivalent atoms, fractional coordinates:
Mg (0.000, 0.000, 0.000) [1 per cell]
Ga (0.000, 0.500, 0.648) [1 per cell]
Ga (0.500, 0.000, 0.502) [1 per cell]
Ga (0.500, 0.500, 0.162) [1 per cell]

Computed, not measured: crystalline Mg5Ga3 at its relaxed geometry at the GGA-PBE level of DFT.

Properties
**Calculated formation energy**: -107.2 meV/atom

Cell: 6.089 8.401 12.464 Å, 90.00 90.00 90.00°
Space group Fmmm (No. 69)
Inequivalent atoms, fractional coordinates:
Mg (0.000, 0.000, 0.000) [4 per cell]
Mg (0.250, 0.250, 0.129) [16 per cell]
Ga (0.000, 0.000, 0.246) [8 per cell]
Ga (0.000, 0.000, 0.500) [4 per cell]

Computed, not measured: crystalline Mg4Ga3 at its relaxed geometry at the GGA-PBE level of DFT.

Properties
**Calculated formation energy**: -119.5 meV/atom
**ΔE to the lowest computed polymorph**: 0 meV/atom

Cell: 12.1531 12.1531 3.2545 Å, 90.00 90.00 120.00°
Space group P-3 (No. 147)
Inequivalent atoms, fractional coordinates:
Mg (0.0225, 0.2333, 0.2468) [6 per cell]
Mg (0.1156, 0.4956, 0.7454) [6 per cell]
Ga (0.0000, 0.0000, 0.5000) [1 per cell]
Ga (0.1424, 0.7159, 0.2444) [6 per cell]
Ga (0.3333, 0.6667, 0.2376) [2 per cell]

Computed, not measured: crystalline Mg3Ga13 at its relaxed geometry at the GGA-PBE level of DFT.

Properties
**Calculated formation energy**: -50.9 meV/atom

Cell: 7.712 8.532 9.184 Å, 90.00 90.00 90.00°
Space group Amm2 (No. 38)
Inequivalent atoms, fractional coordinates:
Mg (0.000, 0.000, 0.000) [2 per cell]
Mg (0.279, 0.000, 0.257) [4 per cell]
Ga (0.000, 0.000, 0.485) [2 per cell]
Ga (0.000, 0.242, 0.255) [4 per cell]
Ga (0.230, 0.000, 0.745) [4 per cell]
Ga (0.252, 0.248, 0.511) [8 per cell]
Ga (0.500, 0.000, 0.516) [2 per cell]
Ga (0.500, 0.000, 0.993) [2 per cell]
Ga (0.500, 0.222, 0.762) [4 per cell]

Computed, not measured: crystalline MgGa5 at its relaxed geometry at the GGA-PBE level of DFT.

Properties
**Calculated formation energy**: -48.9 meV/atom

Cell: 4.123 12.591 4.316 Å, 90.00 90.00 90.00°
Space group Cmmm (No. 65)
Inequivalent atoms, fractional coordinates:
Mg (0.000, 0.000, 0.000) [2 per cell]
Ga (0.000, 0.167, 0.500) [4 per cell]
Ga (0.000, 0.331, 0.000) [4 per cell]
Ga (0.000, 0.500, 0.500) [2 per cell]

Computed, not measured: crystalline Mg3Ga11 at its relaxed geometry at the GGA-PBE level of DFT.

Properties
**Calculated formation energy**: -45.3 meV/atom

Cell: 4.653 10.032 11.541 Å, 90.00 90.00 90.00°
Space group Immm (No. 71)
Inequivalent atoms, fractional coordinates:
Mg (0.000, 0.000, 0.000) [2 per cell]
Mg (0.000, 0.000, 0.281) [4 per cell]
Ga (0.000, 0.154, 0.500) [4 per cell]
Ga (0.000, 0.277, 0.148) [8 per cell]
Ga (0.000, 0.372, 0.365) [8 per cell]
Ga (0.000, 0.500, 0.000) [2 per cell]

Computed, not measured: crystalline Mg13Ga2 at its relaxed geometry at the GGA-PBE level of DFT.

Properties
**Calculated formation energy**: -13.2 meV/atom

Cell: 5.988 7.441 8.290 Å, 66.89 86.82 80.64°
Space group P-1 (No. 2)
Inequivalent atoms, fractional coordinates:
Mg (0.000, 0.000, 0.000) [1 per cell]
Mg (0.052, 0.504, 0.690) [2 per cell]
Mg (0.233, 0.986, 0.607) [2 per cell]
Mg (0.254, 0.178, 0.197) [2 per cell]
Mg (0.259, 0.617, 0.966) [2 per cell]
Mg (0.447, 0.390, 0.392) [2 per cell]
Mg (0.449, 0.188, 0.843) [2 per cell]
Ga (0.173, 0.777, 0.365) [2 per cell]

Computed, not measured: crystalline MgGa5 at its relaxed geometry at the GGA-PBE level of DFT.

Properties
**Calculated formation energy**: 0.1 meV/atom

Cell: 2.9995 2.9995 14.7650 Å, 90.00 90.00 120.00°
Space group P-6m2 (No. 187)
Inequivalent atoms, fractional coordinates:
Mg (0.0000, 0.0000, 0.0000) [1 per cell]
Ga (0.0000, 0.0000, 0.3276) [2 per cell]
Ga (0.6667, 0.3333, 0.1649) [2 per cell]
Ga (0.6667, 0.3333, 0.5000) [1 per cell]

Computed, not measured: crystalline Mg3Ga at its relaxed geometry at the GGA-PBE level of DFT.

Properties
**Calculated formation energy**: -66.3 meV/atom

Cell: 3.157 10.000 5.323 Å, 90.00 90.00 90.00°
Space group Imm2 (No. 44)
Inequivalent atoms, fractional coordinates:
Mg (0.000, 0.000, 0.000) [2 per cell]
Mg (0.000, 0.239, 0.362) [4 per cell]
Ga (0.000, 0.500, 0.019) [2 per cell]

Computed, not measured: crystalline MgGa5 at its relaxed geometry at the GGA-PBE level of DFT.

Properties
**Calculated formation energy**: -37.0 meV/atom

Cell: 5.0641 5.0641 5.1760 Å, 90.00 90.00 120.00°
Space group P-62m (No. 189)
Inequivalent atoms, fractional coordinates:
Mg (0.0000, 0.0000, 0.0000) [1 per cell]
Ga (0.0000, 0.6622, 0.5000) [3 per cell]
Ga (0.3333, 0.6667, 0.0000) [2 per cell]

- Which formula does entry 12 have?
  MgGa5

- Which formula does entry 5 have?
  Mg4Ga3

- The highest calculated formation energy belongs to which entry?
  number 10